Entry 1:
HoLuSiAg (PBE-GGA, optimized geometry); energy = -19.08 eV per formula unit
1.0
7.047 0.000 0.000
0.000 7.047 0.000
0.000 0.000 7.047
Ho Lu Si Ag
4 4 4 4
Cartesian
0.000 0.000 0.000
0.000 3.524 3.524
3.524 0.000 3.524
3.524 3.524 0.000
0.000 0.000 3.524
0.000 3.524 0.000
3.524 0.000 0.000
3.524 3.524 3.524
1.762 1.762 5.285
1.762 5.285 1.762
5.285 1.762 1.762
5.285 5.285 5.285
1.762 1.762 1.762
1.762 5.285 5.285
5.285 1.762 5.285
5.285 5.285 1.762



Entry 2:
PuTi2Sb2Pd2 (PBE-GGA, optimized geometry); energy = -53.01 eV per formula unit
1.0
2.246 1.297 8.173
-2.246 1.297 8.173
0.000 -2.594 8.173
Pu Ti Sb Pd
1 2 2 2
Cartesian
0.000 0.000 0.000
0.000 0.000 3.478
0.000 0.000 21.041
0.000 0.000 6.387
0.000 0.000 18.132
0.000 0.000 10.869
0.000 0.000 13.649



Entry 3:
KLiMg6O7 (PBE-GGA, optimized geometry); energy above the lowest structure with this stoichiometry = 69 meV/atom; energy = -77.03 eV per formula unit
1.0
4.504 0.000 0.000
0.000 4.504 0.000
0.000 0.000 8.503
K Li Mg O
1 1 6 7
Cartesian
0.000 0.000 0.000
2.252 2.252 8.336
0.000 0.000 4.181
0.000 2.252 1.856
0.000 2.252 6.356
2.252 0.000 1.856
2.252 0.000 6.356
2.252 2.252 4.046
0.000 0.000 6.080
0.000 2.252 3.873
0.000 2.252 8.402
2.252 0.000 3.873
2.252 0.000 8.402
2.252 2.252 1.981
2.252 2.252 6.086



Entry 4:
YNbCr (PBE-GGA, optimized geometry); energy above the lowest structure with this stoichiometry = 39 meV/atom; energy = -25.26 eV per formula unit; formation enthalpy at 0 K = 0.30 eV per atom
1.0
3.313 0.000 0.000
0.000 3.313 0.000
0.000 0.000 10.867
Y Nb Cr
2 2 2
Cartesian
0.000 0.000 0.000
1.657 1.657 5.434
0.000 0.000 3.181
1.657 1.657 8.615
0.000 0.000 7.479
1.657 1.657 2.046



Entry 5:
DyNpRh6 (PBE-GGA, optimized geometry); energy = -65.64 eV per formula unit; formation enthalpy at 0 K = -0.50 eV per atom
1.0
4.034 0.000 0.000
0.000 4.034 0.000
0.000 0.000 8.041
Dy Np Rh
1 1 6
Cartesian
0.000 0.000 0.000
0.000 0.000 4.021
0.000 2.017 2.108
0.000 2.017 5.934
2.017 0.000 2.108
2.017 0.000 5.934
2.017 2.017 0.000
2.017 2.017 4.021



Entry 6:
Al2TcBr (PBE-GGA, optimized geometry); energy above the lowest structure with this stoichiometry = 784 meV/atom; energy = -17.29 eV per formula unit
1.0
6.445 0.000 0.000
0.000 6.445 0.000
0.000 0.000 6.445
Al Tc Br
8 4 4
Cartesian
0.000 0.000 0.000
0.000 3.223 3.223
1.611 1.611 1.611
1.611 4.834 4.834
3.223 0.000 3.223
3.223 3.223 0.000
4.834 1.611 4.834
4.834 4.834 1.611
1.611 1.611 4.834
1.611 4.834 1.611
4.834 1.611 1.611
4.834 4.834 4.834
0.000 0.000 3.223
0.000 3.223 0.000
3.223 0.000 0.000
3.223 3.223 3.223



Entry 7:
K2CdBr4 (PBE-GGA, optimized geometry); energy above the lowest structure with this stoichiometry = 21 meV/atom; energy = -19.23 eV per formula unit
1.0
14.378 0.000 0.000
0.000 4.315 0.000
-4.308 0.000 7.626
K Cd Br
4 2 8
Cartesian
1.369 0.000 1.422
1.511 2.158 6.204
8.558 2.158 1.422
8.700 0.000 6.204
-2.154 2.158 3.813
5.035 0.000 3.813
-2.961 2.158 6.402
-0.278 0.000 4.393
3.158 2.158 3.233
5.841 0.000 1.225
4.228 0.000 6.402
6.911 2.158 4.393
10.347 0.000 3.233
13.030 2.158 1.225



Entry 8:
ErScGa2Ni2 (PBE-GGA, optimized geometry); energy = -32.35 eV per formula unit; formation enthalpy at 0 K = -0.64 eV per atom
1.0
4.259 0.000 0.000
-2.129 3.688 0.000
0.000 0.000 6.516
Er Sc Ga Ni
1 1 2 2
Cartesian
0.000 0.000 0.000
0.000 0.000 3.258
0.000 2.459 1.821
2.129 1.229 4.695
0.000 2.459 4.667
2.129 1.229 1.849



Among the records above, which one has the lowest energy? KLiMg6O7



The highest energy belongs to which entry? Al2TcBr